(1)
The following is a DFT calculation (GGA-PBE) of a geometry-optimized Sm2ZnSb structure.

Structure (POSCAR):
```
Sm2ZnSb
1.0
0.000 3.746 3.746
3.746 0.000 3.746
3.746 3.746 0.000
Sm Zn Sb
2 1 1
Cartesian
1.873 1.873 1.873
5.619 5.619 5.619
0.000 0.000 0.000
3.746 3.746 3.746
```

Summary:
Crystal system: cubic
Offset from the most stable computed form, meV per atom: 146
Space group: Fm-3m, No. 225

(2)
The following is a DFT calculation (GGA-PBE) of a geometry-optimized SmZr2Sb4 structure.

Structure (POSCAR):
```
SmZr2Sb4
1.0
2.088 -6.950 0.000
2.088 6.950 0.000
0.000 0.000 13.691
Sm Zr Sb
2 4 8
Cartesian
2.088 5.443 10.268
2.088 -5.443 3.423
2.088 1.875 7.580
2.088 1.875 12.956
2.088 -1.875 0.735
2.088 -1.875 6.111
0.000 0.000 0.000
0.000 0.000 6.845
2.088 3.330 1.799
2.088 3.330 5.046
2.088 0.855 10.268
2.088 -0.855 3.423
2.088 -3.330 8.645
2.088 -3.330 11.891
```

Summary:
Crystal system: orthorhombic
Space group: Cmcm, No. 63
E, Ry/atom: -0.445

| no. | DOS(E_F) (states/eV/f.u.) |
| --- | --- |
| 1 | 2.5 |
| 2 | 2.3 |